Entry 1:
The following is a GGA-PBE calculation of crystalline Li3Ho3US8 at its relaxed geometry, from the Alexandria database.

Summary:
For the density of states at the Fermi level, the calculation gives 5.849 states/eV/cell. As for the space group: R-3m. The uncorrected formation energy is -1.73 eV per atom.

Geometry as CIF:
```
data_Li3Ho3US8
_chemical_formula_sum 'Li3 Ho3 U1 S8'
_cell_length_a 7.848
_cell_length_b 7.847
_cell_length_c 7.655
_cell_angle_alpha 120.87
_cell_angle_beta 90.00
_cell_angle_gamma 120.00
_symmetry_space_group_name_H-M 'P 1'
_symmetry_Int_Tables_number 1
loop_
_symmetry_equiv_pos_as_xyz
'x,y,z'
loop_
_atom_site_label
_atom_site_fract_x
_atom_site_fract_y
_atom_site_fract_z
U1 0.000 0.000 0.500
S1 0.250 0.501 0.251
S2 0.755 0.510 0.257
S3 0.750 0.499 0.749
S4 0.245 0.998 0.743
S5 0.755 0.002 0.257
S6 0.753 0.998 0.743
S7 0.247 0.002 0.257
S8 0.245 0.490 0.743
Ho1 0.500 0.000 0.500
Ho2 0.000 0.500 0.500
Ho3 0.500 0.500 0.500
Li1 0.500 0.500 0.000
Li2 0.000 0.500 0.000
Li3 0.000 0.000 0.000
```

=====

Entry 2:
The following is a GGA-PBE calculation of crystalline Sr3InAu at its relaxed geometry, from the Alexandria database.

Summary:
For the density of states at the Fermi level, the calculation gives 12.079 states/eV/cell. As for the space group: Cmce. The value obtained for the energy of formation is -0.431 eV/atom.

Geometry as CIF:
```
data_Sr3InAu
_chemical_formula_sum 'Sr12 In4 Au4'
_cell_length_a 8.313
_cell_length_b 9.669
_cell_length_c 9.669
_cell_angle_alpha 78.62
_cell_angle_beta 90.00
_cell_angle_gamma 90.00
_symmetry_space_group_name_H-M 'P 1'
_symmetry_Int_Tables_number 1
loop_
_symmetry_equiv_pos_as_xyz
'x,y,z'
loop_
_atom_site_label
_atom_site_fract_x
_atom_site_fract_y
_atom_site_fract_z
Sr1 0.096 0.972 0.820
Sr2 0.904 0.320 0.472
Sr3 0.904 0.028 0.180
Sr4 0.596 0.820 0.972
Sr5 0.711 0.936 0.564
Sr6 0.289 0.064 0.436
Sr7 0.096 0.680 0.528
Sr8 0.211 0.564 0.936
Sr9 0.404 0.180 0.028
Sr10 0.596 0.528 0.680
Sr11 0.789 0.436 0.064
Sr12 0.404 0.472 0.320
Au1 0.877 0.696 0.804
Au2 0.123 0.304 0.196
Au3 0.377 0.804 0.696
Au4 0.623 0.196 0.304
In1 0.750 0.185 0.815
In2 0.250 0.815 0.185
In3 0.250 0.315 0.685
In4 0.750 0.685 0.315
```

=====

Entry 3:
The following is a GGA-PBE calculation of crystalline Cs2US3O at its relaxed geometry, from the Alexandria database.

Summary:
As for the space group: Immm. The uncorrected formation energy is -1.64 eV per atom.

Geometry as CIF:
```
data_Cs2US3O
_chemical_formula_sum 'Cs2 U1 S3 O1'
_cell_length_a 4.260
_cell_length_b 5.393
_cell_length_c 9.752
_cell_angle_alpha 106.05
_cell_angle_beta 102.62
_cell_angle_gamma 90.00
_symmetry_space_group_name_H-M 'P 1'
_symmetry_Int_Tables_number 1
loop_
_symmetry_equiv_pos_as_xyz
'x,y,z'
loop_
_atom_site_label
_atom_site_fract_x
_atom_site_fract_y
_atom_site_fract_z
Cs1 0.343 0.343 0.685
Cs2 0.657 0.657 0.315
S1 0.136 0.136 0.273
S2 0.000 0.500 0.000
S3 0.864 0.864 0.727
U1 0.000 0.000 0.000
O1 0.500 0.000 0.000
```

=====

Entry 4:
The following is a GGA-PBE calculation of crystalline Sr3PdBr at its relaxed geometry, from the Alexandria database.

Summary:
For the density of states at the Fermi level, the calculation gives 2.027 states/eV/cell. As for the space group: Pm-3m. The uncorrected formation energy is -0.63 eV per atom.

Geometry as CIF:
```
data_Sr3PdBr
_chemical_formula_sum 'Sr3 Pd1 Br1'
_cell_length_a 5.975
_cell_length_b 5.975
_cell_length_c 5.975
_cell_angle_alpha 90.00
_cell_angle_beta 90.00
_cell_angle_gamma 90.00
_symmetry_space_group_name_H-M 'P 1'
_symmetry_Int_Tables_number 1
loop_
_symmetry_equiv_pos_as_xyz
'x,y,z'
loop_
_atom_site_label
_atom_site_fract_x
_atom_site_fract_y
_atom_site_fract_z
Br1 0.500 0.500 0.500
Sr1 0.000 0.500 0.000
Sr2 0.000 0.000 0.500
Sr3 0.500 0.000 0.000
Pd1 0.000 0.000 0.000
```

=====

Entry 5:
The following is a GGA-PBE calculation of crystalline LaPrDyTm at its relaxed geometry, from the Alexandria database.

Summary:
For the density of states at the Fermi level, the calculation gives 6.740 states/eV/cell. As for the space group: Cm. The value obtained for the energy of formation is 0.097 eV/atom.

Geometry as CIF:
```
data_LaPrDyTm
_chemical_formula_sum 'La1 Pr1 Dy1 Tm1'
_cell_length_a 3.832
_cell_length_b 5.926
_cell_length_c 6.962
_cell_angle_alpha 115.19
_cell_angle_beta 73.40
_cell_angle_gamma 90.00
_symmetry_space_group_name_H-M 'P 1'
_symmetry_Int_Tables_number 1
loop_
_symmetry_equiv_pos_as_xyz
'x,y,z'
loop_
_atom_site_label
_atom_site_fract_x
_atom_site_fract_y
_atom_site_fract_z
Dy1 0.198 0.880 0.761
La1 0.386 0.135 0.271
Tm1 0.910 0.646 0.291
Pr1 0.691 0.403 0.807
```

=====

Entry 6:
The following is a GGA-PBE calculation of crystalline GeMo2 at its relaxed geometry, from the Alexandria database.

Summary:
For the density of states at the Fermi level, the calculation gives 2.267 states/eV/cell. As for the space group: I4/mmm. The value obtained for the energy of formation is -0.016 eV/atom.

Geometry as CIF:
```
data_GeMo2
_chemical_formula_sum 'Ge1 Mo2'
_cell_length_a 3.236
_cell_length_b 3.236
_cell_length_c 4.965
_cell_angle_alpha 109.02
_cell_angle_beta 109.02
_cell_angle_gamma 90.00
_symmetry_space_group_name_H-M 'P 1'
_symmetry_Int_Tables_number 1
loop_
_symmetry_equiv_pos_as_xyz
'x,y,z'
loop_
_atom_site_label
_atom_site_fract_x
_atom_site_fract_y
_atom_site_fract_z
Mo1 0.333 0.333 0.666
Mo2 0.667 0.667 0.334
Ge1 0.000 0.000 0.000
```

=====

Number 1: calculated volume 329 Å³/cell, final energy -5.9841 eV per atom. Number 2: calculated volume 762 Å³/cell, final energy -2.6429 eV per atom. Number 3: calculated volume 210 Å³/cell, final energy -5.9783 eV per atom. Number 4: calculated volume 213 Å³/cell, final energy -3.0108 eV per atom. Number 5: calculated volume 136 Å³/cell, final energy -4.5982 eV per atom. Number 6: calculated volume 46 Å³/cell, final energy -8.7760 eV per atom.